Material: LaHo4Sc
Method: DFT, PBE
State: optimized geometry

Properties
ΔH_f (0 K), eV/atom: 0.21
Space group: No. 12
Crystal system: monoclinic
Raw total energy, eV/atom: -4.72
Calculated volume, Å³/f.u.: 191.1
E above lowest polymorph, eV per atom: 0.004

a = 3.394 Å, b = 5.919 Å, c = 10.077 Å
α = 86.14°, β = 80.31°, γ = 73.34°
Element x y z (fractional)
La 0.500 0.500 0.500
Ho 0.656 0.539 0.149
Ho 0.344 0.461 0.851
Ho 0.153 0.029 0.666
Ho 0.847 0.971 0.334
Sc 0.000 0.000 0.000